[1]
First-principles (PBE) data for TbGeAu after structural relaxation, as listed in OQMD.

As for the total energy: -42.16 eV/cell. The total moment is 0.00 μB per formula unit.

The structure belongs to space group P-62m (No. 189); the cell edges are 7.8149, 7.8149 and 3.7619 Å and the angles 90.00°, 90.00° and 120.00°. The inequivalent atoms are Tb at (0.0000, 0.2815, 0.0000), Ge at (0.0000, 0.0000, 0.5000), Ge at (0.3333, 0.6667, 0.0000) and Au at (0.0000, 0.6245, 0.5000).



[2]
First-principles (PBE) data for ScCuNiSn after structural relaxation, as listed in OQMD.

Its energy above the most stable polymorph in this dataset is 199 meV per atom. The total moment is 0.00 μB per formula unit.

The structure belongs to space group F-43m (No. 216); the cell edges are 6.376, 6.376 and 6.376 Å and the angles 90.00°, 90.00° and 90.00°. The inequivalent atoms are Sc at (0.000, 0.000, 0.000), Cu at (0.250, 0.250, 0.250), Ni at (0.000, 0.000, 0.500) and Sn at (0.250, 0.250, 0.750).



[3]
First-principles (PBE) data for Al2IrW after structural relaxation, as listed in OQMD.

As for the total energy: -117.98 eV/cell. The total moment is 0.01 μB per formula unit.

The structure belongs to space group F-43m (No. 216); the cell edges are 6.234, 6.234 and 6.234 Å and the angles 90.00°, 90.00° and 90.00°. The inequivalent atoms are Al at (0.000, 0.000, 0.000), Al at (0.250, 0.250, 0.250), Ir at (0.250, 0.250, 0.750) and W at (0.000, 0.000, 0.500).



[4]
First-principles (PBE) data for CdW3N2 after structural relaxation, as listed in OQMD.

As for the total energy: -108.39 eV/cell. The total moment is 0.00 μB per formula unit.

The structure belongs to space group P6_3/mmc (No. 194); the cell edges are 3.1444, 3.1444 and 18.5946 Å and the angles 90.00°, 90.00° and 120.00°. The inequivalent atoms are Cd at (0.0000, 0.0000, 0.2500), W at (0.0000, 0.0000, 0.0000), W at (0.3333, 0.6667, 0.1217) and N at (0.3333, 0.6667, 0.5625).



[5]
First-principles (PBE) data for Er2LuIn3Cu3 after structural relaxation, as listed in OQMD.

As for the total energy: -73.39 eV/cell. The total moment is 0.00 μB per formula unit.

The structure belongs to space group Amm2 (No. 38); the cell edges are 3.797, 12.947 and 7.488 Å and the angles 90.00°, 90.00° and 90.00°. The inequivalent atoms are Er at (0.000, 0.204, 0.000), Lu at (0.000, 0.000, 0.610), In at (0.500, 0.000, 0.944), In at (0.500, 0.130, 0.334), Cu at (0.000, 0.000, 0.205) and Cu at (0.500, 0.165, 0.703).



[6]
First-principles (PBE) data for LiIrOs after structural relaxation, as listed in OQMD.

As for the total energy: -75.83 eV/cell. The total moment is 0.02 μB per formula unit.

The structure belongs to space group F-43m (No. 216); the cell edges are 5.484, 5.484 and 5.484 Å and the angles 90.00°, 90.00° and 90.00°. The inequivalent atoms are Li at (0.000, 0.000, 0.000), Ir at (0.250, 0.250, 0.750) and Os at (0.250, 0.250, 0.250).



[7]
First-principles (PBE) data for MgFeHgPb after structural relaxation, as listed in OQMD.

Its energy above the most stable polymorph in this dataset is 0 meV per atom. The total moment is 2.41 μB per formula unit.

The structure belongs to space group F-43m (No. 216); the cell edges are 6.729, 6.729 and 6.729 Å and the angles 90.00°, 90.00° and 90.00°. The inequivalent atoms are Mg at (0.000, 0.000, 0.000), Fe at (0.000, 0.000, 0.500), Hg at (0.250, 0.250, 0.750) and Pb at (0.250, 0.250, 0.250).



[8]
First-principles (PBE) data for TaNiOs2 after structural relaxation, as listed in OQMD.

The total moment is 0.00 μB per formula unit. For the formation energy, the calculation gives 0.16 eV per atom.

The structure belongs to space group F-43m (No. 216); the cell edges are 6.162, 6.162 and 6.162 Å and the angles 90.00°, 90.00° and 90.00°. The inequivalent atoms are Ta at (0.000, 0.000, 0.000), Ni at (0.250, 0.250, 0.750), Os at (0.000, 0.000, 0.500) and Os at (0.250, 0.250, 0.250).